Entry 1:
{
  "formula": "BaBSbI2",
  "functional": "PBE-GGA",
  "state": "relaxed",
  "lattice": [[6.7156, 0.0000, 0.0000], [0.0000, 6.7156, 0.0000], [0.0000, 0.0000, 7.0651]],
  "species": ["Ba", "B", "Sb", "I", "I"],
  "frac_coords": [[0.0000, 0.0000, 0.0000], [0.5000, 0.5000, 0.5000], [0.0000, 0.0000, 0.5000], [0.0000, 0.5000, 0.0000], [0.5000, 0.0000, 0.0000]],
  "polymorph_energy_mev_per_atom": 822,
  "dos_at_fermi_per_ev_cell": 6.1,
  "raw_formation_energy_ev_per_atom": 0.79
}


Entry 2:
{
  "formula": "La3Al2Ga3SnO14",
  "functional": "PBE-GGA",
  "state": "relaxed",
  "lattice": [[8.3186, 0.0000, 0.0000], [-4.1593, 7.2042, 0.0000], [0.0000, 0.0000, 5.1749]],
  "species": ["La", "La", "La", "Al", "Al", "Ga", "Ga", "Ga", "Sn", "O", "O", "O", "O", "O", "O", "O", "O", "O", "O", "O", "O", "O", "O"],
  "frac_coords": [[0.0000, 0.4294, 0.0000], [0.4294, 0.0000, 0.0000], [0.5706, 0.5706, 0.0000], [0.3333, 0.6667, 0.4632], [0.6667, 0.3333, 0.5368], [0.0000, 0.7511, 0.5000], [0.2489, 0.2489, 0.5000], [0.7511, 0.0000, 0.5000], [0.0000, 0.0000, 0.0000], [0.0852, 0.2301, 0.7598], [0.1449, 0.9148, 0.7598], [0.1504, 0.6833, 0.3103], [0.2301, 0.0852, 0.2402], [0.3167, 0.4671, 0.3103], [0.3333, 0.6667, 0.8018], [0.4671, 0.3167, 0.6897], [0.5329, 0.8496, 0.3103], [0.6667, 0.3333, 0.1982], [0.6833, 0.1504, 0.6897], [0.7699, 0.8551, 0.7598], [0.8496, 0.5329, 0.6897], [0.8551, 0.7699, 0.2402], [0.9148, 0.1449, 0.2402]],
  "dos_at_fermi_per_ev_cell": 0.0,
  "raw_formation_energy_ev_per_atom": -2.66
}


Entry 3:
{
  "formula": "CaTb2DyAs4",
  "functional": "PBE-GGA",
  "state": "relaxed",
  "lattice": [[7.2101, 0.0000, 0.0000], [0.0000, 4.1472, 0.0000], [-2.3898, 0.0000, 6.8065]],
  "species": ["Ca", "Tb", "Tb", "Dy", "As", "As", "As", "As"],
  "frac_coords": [[0.0000, 0.0000, 0.0000], [0.5000, 0.0000, 0.5000], [0.5000, 0.5000, 0.0000], [0.0000, 0.5000, 0.5000], [0.2515, 0.0000, 0.7468], [0.2557, 0.5000, 0.2566], [0.7443, 0.5000, 0.7434], [0.7485, 0.0000, 0.2532]],
  "dos_at_fermi_per_ev_cell": 3.9,
  "e_form_ev_per_atom": -1.3721
}


Entry 4:
{
  "formula": "Er9TmIn2",
  "functional": "PBE-GGA",
  "state": "relaxed",
  "lattice": [[4.8312, 0.0000, 0.0000], [0.0000, 4.8312, 0.0000], [0.0000, 0.0000, 14.7362]],
  "species": ["Er", "Er", "Er", "Er", "Er", "Er", "Er", "Er", "Er", "Tm", "In", "In"],
  "frac_coords": [[0.0000, 0.0000, 0.0000], [0.0000, 0.0000, 0.3371], [0.0000, 0.0000, 0.6629], [0.0000, 0.5000, 0.1712], [0.0000, 0.5000, 0.5000], [0.0000, 0.5000, 0.8288], [0.5000, 0.0000, 0.1712], [0.5000, 0.0000, 0.5000], [0.5000, 0.0000, 0.8288], [0.5000, 0.5000, 0.0000], [0.5000, 0.5000, 0.3385], [0.5000, 0.5000, 0.6615]],
  "dos_at_fermi_per_ev_cell": 13.4,
  "e_form_ev_per_atom": -0.1642
}


Entry 5:
{
  "formula": "InSbAu",
  "functional": "PBE-GGA",
  "state": "relaxed",
  "lattice": [[-1.6321, 1.7009, 6.4261], [1.6321, -1.7009, 6.4261], [1.6321, 1.7009, -6.4261]],
  "species": ["In", "Sb", "Au"],
  "frac_coords": [[0.0000, 0.0000, 0.0000], [0.7001, 0.7001, 0.0000], [0.3514, 0.3514, 0.0000]],
  "dos_at_fermi_per_ev_cell": 1.0,
  "raw_formation_energy_ev_per_atom": 0.04
}


Entry 6:
{
  "formula": "Pm8OsRh3Br4",
  "functional": "PBE-GGA",
  "state": "relaxed",
  "lattice": [[4.0891, 2.3609, 7.8110], [-4.0891, 2.3609, 7.8110], [0.0000, -4.7217, 7.8110]],
  "species": ["Pm", "Pm", "Pm", "Pm", "Pm", "Pm", "Pm", "Pm", "Os", "Rh", "Rh", "Rh", "Br", "Br", "Br", "Br"],
  "frac_coords": [[0.2312, 0.2312, 0.2312], [0.2371, 0.7299, 0.7299], [0.2701, 0.2701, 0.7629], [0.2701, 0.7629, 0.2701], [0.7299, 0.2371, 0.7299], [0.7299, 0.7299, 0.2371], [0.7629, 0.2701, 0.2701], [0.7688, 0.7688, 0.7688], [0.5000, 0.5000, 0.5000], [0.0000, 0.0000, 0.5000], [0.0000, 0.5000, 0.0000], [0.5000, 0.0000, 0.0000], [0.0000, 0.0000, 0.0000], [0.0000, 0.5000, 0.5000], [0.5000, 0.0000, 0.5000], [0.5000, 0.5000, 0.0000]],
  "dos_at_fermi_per_ev_cell": 6.1,
  "raw_formation_energy_ev_per_atom": -0.99
}


Entry 7:
{
  "formula": "MnNb3Br",
  "functional": "PBE-GGA",
  "state": "relaxed",
  "lattice": [[4.6877, 0.0000, 0.0000], [0.0000, 4.6877, 0.0000], [0.0000, 0.0000, 4.6877]],
  "species": ["Mn", "Nb", "Nb", "Nb", "Br"],
  "frac_coords": [[0.0000, 0.0000, 0.0000], [0.0000, 0.0000, 0.5000], [0.0000, 0.5000, 0.0000], [0.5000, 0.0000, 0.0000], [0.5000, 0.5000, 0.5000]],
  "polymorph_energy_mev_per_atom": 0,
  "dos_at_fermi_per_ev_cell": 7.1,
  "raw_formation_energy_ev_per_atom": 0.94
}


Entry 8:
{
  "formula": "K4Pu3SbS8",
  "functional": "PBE-GGA",
  "state": "relaxed",
  "lattice": [[4.1192, 2.3782, 7.3133], [-4.1192, 2.3782, 7.3133], [0.0000, -4.7564, 7.3133]],
  "species": ["K", "K", "K", "K", "Pu", "Pu", "Pu", "Sb", "S", "S", "S", "S", "S", "S", "S", "S"],
  "frac_coords": [[0.0000, 0.0000, 0.0000], [0.0000, 0.5000, 0.5000], [0.5000, 0.0000, 0.5000], [0.5000, 0.5000, 0.0000], [0.0000, 0.0000, 0.5000], [0.0000, 0.5000, 0.0000], [0.5000, 0.0000, 0.0000], [0.5000, 0.5000, 0.5000], [0.2330, 0.2330, 0.2330], [0.2332, 0.7340, 0.7340], [0.2660, 0.2660, 0.7668], [0.2660, 0.7668, 0.2660], [0.7340, 0.2332, 0.7340], [0.7340, 0.7340, 0.2332], [0.7668, 0.2660, 0.2660], [0.7670, 0.7670, 0.7670]],
  "dos_at_fermi_per_ev_cell": 26.5,
  "raw_formation_energy_ev_per_atom": -1.36
}


Entry 9:
{
  "formula": "AcZnCd",
  "functional": "PBE-GGA",
  "state": "relaxed",
  "lattice": [[5.7015, -2.4701, 0.0000], [5.7015, 2.4701, 0.0000], [-5.4594, 0.0000, 5.8061]],
  "species": ["Ac", "Ac", "Zn", "Zn", "Cd", "Cd"],
  "frac_coords": [[0.0427, 0.0427, 0.2922], [0.9573, 0.9573, 0.7078], [0.3452, 0.3452, 0.2939], [0.6548, 0.6548, 0.7061], [0.3273, 0.3273, 0.8901], [0.6727, 0.6727, 0.1099]],
  "polymorph_energy_mev_per_atom": 0,
  "dos_at_fermi_per_ev_cell": 5.8,
  "e_form_ev_per_atom": -0.3016
}


Entry 10:
{
  "formula": "KAlSi2",
  "functional": "PBE-GGA",
  "state": "relaxed",
  "lattice": [[-1.8800, 3.1955, 4.4819], [1.8800, -3.1955, 4.4819], [1.8800, 3.1955, -4.4819]],
  "species": ["K", "Al", "Si", "Si"],
  "frac_coords": [[0.0000, 0.0000, 0.0000], [0.3345, 0.8345, 0.5000], [0.5260, 0.5260, 0.0000], [0.6809, 0.1809, 0.5000]],
  "dos_at_fermi_per_ev_cell": 2.3,
  "raw_formation_energy_ev_per_atom": 0.41
}


Entry 11:
{
  "formula": "Ca2CuHPd",
  "functional": "PBE-GGA",
  "state": "relaxed",
  "lattice": [[5.0814, 0.0000, 0.0000], [0.0000, 5.0814, 0.0000], [0.0000, 0.0000, 3.6084]],
  "species": ["Ca", "Ca", "Cu", "H", "Pd"],
  "frac_coords": [[0.0000, 0.5000, 0.0000], [0.5000, 0.0000, 0.0000], [0.0000, 0.0000, 0.5000], [0.5000, 0.5000, 0.0000], [0.5000, 0.5000, 0.5000]],
  "polymorph_energy_mev_per_atom": 15,
  "dos_at_fermi_per_ev_cell": 2.6
}


Entry 12:
{
  "formula": "NiHgI",
  "functional": "PBE-GGA",
  "state": "relaxed",
  "lattice": [[9.1568, 0.0000, 0.0000], [0.0000, 6.3808, 0.0000], [-0.0588, 0.0000, 5.4541]],
  "species": ["Ni", "Ni", "Ni", "Ni", "Hg", "Hg", "Hg", "Hg", "I", "I", "I", "I"],
  "frac_coords": [[0.1657, 0.2493, 0.0018], [0.1657, 0.2507, 0.5018], [0.8343, 0.7493, 0.4982], [0.8343, 0.7507, 0.9982], [0.0649, 0.5850, 0.7515], [0.0649, 0.9150, 0.2515], [0.9351, 0.0850, 0.7485], [0.9351, 0.4150, 0.2485], [0.3341, 0.0171, 0.7535], [0.3341, 0.4829, 0.2535], [0.6659, 0.5171, 0.7465], [0.6659, 0.9829, 0.2465]],
  "dos_at_fermi_per_ev_cell": 8.8,
  "raw_formation_energy_ev_per_atom": 0.01
}